(1)
Below is a geometry-optimized ThAsP structure, with properties calculated at the GGA-PBE level.

Computed properties:
total moment = 0.00 μB per atom
excess energy over the best structure of this formula in the dataset = 332 meV/atom

a b c (Å): 4.4152 4.4152 3.8129
angles (deg): 90.00 90.00 120.00
Space group P-6m2 (No. 187)
Asymmetric unit:
Th  0.0000  0.0000  0.0000
As  0.6667  0.3333  0.5000
P  0.3333  0.6667  0.5000

=====

(2)
Below is a geometry-optimized Th6As5P structure, with properties calculated at the GGA-PBE level.

Computed properties:
total moment = 0.00 μB per atom

a b c (Å): 7.328 12.719 7.335
angles (deg): 90.00 109.53 90.00
Space group C2/m (No. 12)
Asymmetric unit:
Th  0.244  0.000  0.254
Th  0.245  0.163  0.745
As  0.000  0.169  0.000
As  0.000  0.334  0.500
As  0.000  0.500  0.000
P  0.000  0.000  0.500

=====

The VASP energy results, record by record, are as follows: -6.602 -7.520 eV/atom.
The energy of formation results, record by record, are as follows: -224.6 -1646.8 kJ/mol of formula units.